# 1
Entry from Alexandria via LeMat-Bulk: a relaxed structure of Ni2Ir5Ru2 (GGA-PBE).

Lattice parameters (Å, degrees): 4.6309 7.1485 7.1198 142.12 108.30 90.57
Fractional positions:
Ni: 0.2241 0.4442 0.1127
Ni: 0.7759 0.5558 0.8873
Ir: 0.4401 0.8853 0.2184
Ir: 0.5599 0.1147 0.7816
Ir: 0.1072 0.2232 0.5548
Ir: 0.8928 0.7768 0.4452
Ir: 0.0000 0.0000 0.0000
Ru: 0.3328 0.6674 0.6637
Ru: 0.6672 0.3326 0.3363

Computed properties:
magnetic moment: 0.000 μB per atom
theoretical density: 17.256 Mg/m³
SG: No. 2
DFT total energy: -8.26 eV per atom
energy of formation: 0.013 eV per atom

---

# 2
Entry from Alexandria via LeMat-Bulk: a relaxed structure of NiIrRu (GGA-PBE).

Lattice parameters (Å, degrees): 4.0717 4.0717 4.0717 60.00 60.00 60.00
Fractional positions:
Ir: 0.7500 0.7500 0.7500
Ni: 0.0000 0.0000 0.0000
Ru: 0.5000 0.5000 0.5000

Computed properties:
magnetic moment: 0.089 μB per atom
theoretical density: 12.245 Mg/m³
SG: No. 216
DFT total energy: -7.43 eV per atom
ΔE to the lowest computed polymorph: 559 meV per atom
energy of formation: 0.547 eV per atom

---

# 3
Entry from Alexandria via LeMat-Bulk: a relaxed structure of NiIrRu (GGA-PBE).

Lattice parameters (Å, degrees): 4.5613 4.5613 4.5613 145.48 132.09 60.39
Fractional positions:
Ru: 0.6675 0.6675 0.0000
Ir: 0.9997 0.9997 0.0000
Ni: 0.3327 0.3327 0.0000

Computed properties:
magnetic moment: 0.000 μB per atom
theoretical density: 14.785 Mg/m³
SG: No. 44
DFT total energy: -7.98 eV per atom
ΔE to the lowest computed polymorph: 0 meV per atom
energy of formation: -0.012 eV per atom

---

# 4
Entry from Alexandria via LeMat-Bulk: a relaxed structure of Ni2IrRu (GGA-PBE).

Lattice parameters (Å, degrees): 2.6470 3.6268 5.2639 90.00 90.00 90.00
Fractional positions:
Ir: 0.5000 0.5000 0.7500
Ni: 0.0000 0.0000 0.0017
Ni: 0.0000 0.0000 0.4983
Ru: 0.5000 0.5000 0.2500

Computed properties:
magnetic moment: 0.000 μB per atom
theoretical density: 13.495 Mg/m³
SG: No. 47
DFT total energy: -7.33 eV per atom
ΔE to the lowest computed polymorph: 99 meV per atom
energy of formation: 0.098 eV per atom

---

# 5
Entry from Alexandria via LeMat-Bulk: a relaxed structure of Ni2IrRu (GGA-PBE).

Lattice parameters (Å, degrees): 4.1444 4.1444 4.1444 60.00 60.00 60.00
Fractional positions:
Ru: 0.0000 0.0000 0.0000
Ir: 0.5000 0.5000 0.5000
Ni: 0.2500 0.2500 0.2500
Ni: 0.7500 0.7500 0.7500

Computed properties:
magnetic moment: 0.000 μB per atom
theoretical density: 13.548 Mg/m³
SG: No. 225
DFT total energy: -7.25 eV per atom
ΔE to the lowest computed polymorph: 177 meV per atom
energy of formation: 0.176 eV per atom

---

# 6
Entry from Alexandria via LeMat-Bulk: a relaxed structure of NiIrRu (GGA-PBE).

Lattice parameters (Å, degrees): 7.0588 6.8163 2.6504 84.19 73.88 21.93
Fractional positions:
Ir: 0.9971 0.9971 0.0029
Ni: 0.3325 0.3325 0.6675
Ru: 0.6704 0.6704 0.3296

Computed properties:
magnetic moment: 0.245 μB per atom
theoretical density: 14.188 Mg/m³
SG: No. 42
DFT total energy: -7.62 eV per atom
ΔE to the lowest computed polymorph: 364 meV per atom
energy of formation: 0.352 eV per atom

---

V, respectively: 13.692, 15.911, 13.177, 12.634, 12.583, 13.732 Å³/atom.